Computed, not measured: a PBEsol-optimized structure of ZrTlTe4 at the meta-GGA SCAN level of DFT.

Cell: 8.770 8.770 8.770 Å, 90.00 90.00 90.00°
Space group F-43m (No. 216)
One atom of each set of equivalent atoms:
Zr: 0.000 0.000 0.000
Tl: 0.250 0.250 0.750
Te: 0.126 0.126 0.374

Calculated values
- ρ (g/cm³) = 7.94
- N(E_F) (states/eV per atom) = 0.73
- formation energy without anion corrections (kJ per mole of atoms) = 42